(1)
5
Lattice="7.253 0.000 0.000 0.000 7.253 0.000 0.000 0.000 7.253" Properties=species:S:1:pos:R:3 comment="K3YAg, relaxed, DFT PBE" final_energy_ev_per_fu=-7.452 delta_e_f_ev_per_atom=1.031 n_ef_per_ev_cell=7.0 spacegroup="Pm-3m (221)" e_above_lowest_polymorph_mev_per_atom=446 pbc="T T T"
Y 0.000 0.000 0.000
K 0.000 3.626 0.000
K 0.000 0.000 3.626
K 3.626 0.000 0.000
Ag 3.626 3.626 3.626

---

(2)
11
Lattice="4.082 -0.078 -0.117 -0.779 6.496 0.222 -0.779 -2.297 6.080" Properties=species:S:1:pos:R:3 comment="CdB2Pt8, relaxed, DFT PBE" final_energy_ev_per_fu=-63.949 delta_e_f_ev_per_atom=-0.123 n_ef_per_ev_cell=10.5 spacegroup="C2/m (12)" pbc="T T T"
Cd 2.041 -0.039 -0.059
B -0.779 0.658 4.112
B -0.779 3.542 2.191
Pt 2.454 4.532 4.200
Pt 2.454 2.130 5.800
Pt 0.249 2.591 3.889
Pt 1.262 4.116 1.723
Pt 1.262 0.005 4.462
Pt 2.275 1.530 2.297
Pt 0.071 1.991 0.385
Pt 0.071 -0.411 1.986

---

(3)
14
Lattice="0.209 -4.010 -6.040 -3.699 -3.441 5.202 -3.295 6.298 -1.463" Properties=species:S:1:pos:R:3 comment="Tm4Co2Pt, relaxed, DFT PBE" final_energy_ev_per_fu=-41.520 delta_e_f_ev_per_atom=-0.483 n_ef_per_ev_cell=3.8 spacegroup="C2 (5)" pbc="T T T"
Tm -1.965 -2.446 -5.266
Tm -2.581 -1.709 -0.051
Tm -4.132 -1.694 -2.958
Tm -2.780 1.225 -4.949
Tm -0.785 0.035 -2.672
Tm -2.941 3.258 -1.946
Tm -5.546 0.983 -0.429
Tm -2.501 -4.839 -2.176
Co -3.351 0.647 -2.004
Co -4.303 -3.663 -0.507
Co -1.221 -2.574 -2.651
Co -4.697 3.284 0.562
Pt -4.370 -0.435 1.662
Pt -3.489 -7.447 -0.838

---

(4)
7
Lattice="5.107 4.207 -2.039 -4.665 -0.999 5.018 4.114 -5.267 1.811" Properties=species:S:1:pos:R:3 comment="Mg4Zn2Cu, relaxed, DFT PBE" final_energy_ev_per_fu=-10.026 delta_e_f_ev_per_atom=0.428 n_ef_per_ev_cell=3.0 spacegroup="I4/mmm (139)" e_above_lowest_polymorph_mev_per_atom=470 pbc="T T T"
Mg 4.460 -2.244 1.755
Mg 0.096 0.186 3.036
Mg 2.247 -3.423 3.353
Mg 2.308 1.364 1.438
Zn -0.165 -2.331 4.160
Zn 4.721 0.272 0.631
Cu 0.000 0.000 0.000

---

(5)
4
Lattice="-3.102 0.504 2.698 -3.069 -2.222 1.673 2.089 -1.576 4.259" Properties=species:S:1:pos:R:3 comment="SiPIr2, relaxed, DFT PBE" final_energy_ev_per_fu=-29.547 n_ef_per_ev_cell=1.9 spacegroup="C2/m (12)" e_above_lowest_polymorph_mev_per_atom=119 pbc="T T T"
Ir -4.076 -3.290 8.619
Ir -2.048 -1.651 4.326
P -3.062 -2.471 6.473
Si -1.021 -0.824 2.158

---

(6)
9
Lattice="2.859 0.000 0.000 1.430 6.077 0.000 1.430 0.000 6.077" Properties=species:S:1:pos:R:3 comment="VCr8, relaxed, DFT PBE" final_energy_ev_per_fu=-86.447 delta_e_f_ev_per_atom=-0.038 n_ef_per_ev_cell=6.8 spacegroup="I4/mmm (139)" pbc="T T T"
V 0.000 0.000 0.000
Cr 2.859 0.000 4.026
Cr 1.430 0.000 2.051
Cr 2.859 4.045 4.045
Cr 2.859 4.026 0.000
Cr 1.430 4.045 2.032
Cr 1.430 2.051 0.000
Cr 2.859 2.032 2.032
Cr 1.430 2.032 4.045

---

(7)
10
Lattice="-0.104 5.632 2.163 -5.983 0.182 -0.760 -0.529 -1.472 3.807" Properties=species:S:1:pos:R:3 comment="BeAl2Si2, relaxed, DFT PBE" final_energy_ev_per_fu=-20.686 n_ef_per_ev_cell=3.0 spacegroup="P4/mbm (127)" pbc="T T T"
Be 0.000 0.000 0.000
Be -3.043 2.907 0.702
Si -5.196 2.197 0.128
Si -3.905 4.972 1.380
Si -0.891 3.617 1.275
Si -2.181 0.842 0.023
Al -4.335 0.386 1.772
Al -5.256 3.228 2.743
Al -2.280 3.956 3.438
Al -1.359 1.113 2.467

---

(8)
5
Lattice="3.904 0.000 0.000 0.000 3.904 0.000 1.952 1.952 3.591" Properties=species:S:1:pos:R:3 comment="Mn2CoN2, relaxed, DFT PBE" final_energy_ev_per_fu=-42.089 n_ef_per_ev_cell=3.7 spacegroup="I4/mmm (139)" e_above_lowest_polymorph_mev_per_atom=176 pbc="T T T"
Mn 3.904 1.952 1.795
Mn 1.952 3.904 1.795
Co 0.000 0.000 0.000
N 1.952 1.952 1.776
N 3.904 3.904 1.815

---

(9)
4
Lattice="-5.198 7.473 -0.315 -7.450 4.965 -1.675 -7.117 5.348 1.923" Properties=species:S:1:pos:R:3 comment="CaRePb2, relaxed, DFT PBE" final_energy_ev_per_fu=-19.868 delta_e_f_ev_per_atom=0.500 n_ef_per_ev_cell=1.7 spacegroup="R-3m (166)" e_above_lowest_polymorph_mev_per_atom=121 pbc="T T T"
Pb -19.532 17.577 -0.066
Pb -10.114 9.102 -0.034
Re -4.941 4.446 -0.017
Ca -14.823 13.339 -0.050

---

(10)
8
Lattice="-4.625 -2.246 4.778 4.987 -3.942 2.974 0.838 -1.062 5.468" Properties=species:S:1:pos:R:3 comment="Ti2ZnTc, relaxed, DFT PBE" final_energy_ev_per_fu=-26.779 delta_e_f_ev_per_atom=0.163 n_ef_per_ev_cell=6.3 spacegroup="I-42d (122)" pbc="T T T"
Zn 0.181 -3.094 3.876
Zn 3.003 -4.049 6.159
Tc 0.000 0.000 0.000
Tc -1.803 -3.201 7.061
Ti -2.154 -2.209 4.824
Ti 2.845 -2.963 3.724
Ti 0.661 -3.035 6.946
Ti 1.050 -6.293 10.946

---

(11)
19
Lattice="7.758 0.029 0.026 1.036 7.689 0.026 1.036 0.909 7.635" Properties=species:S:1:pos:R:3 comment="Sm2Mg15Cd2, relaxed, DFT PBE" final_energy_ev_per_fu=-36.500 delta_e_f_ev_per_atom=-0.069 n_ef_per_ev_cell=7.6 spacegroup="R-3m (166)" pbc="T T T"
Sm 3.200 2.809 2.503
Sm 6.630 5.819 5.185
Mg 3.879 0.015 0.013
Mg 0.518 0.454 3.818
Mg 0.518 3.845 0.013
Mg 1.036 5.643 2.323
Mg 5.729 2.341 0.026
Mg 3.065 0.643 5.338
Mg 3.065 5.377 0.026
Mg 5.729 0.295 2.323
Mg 1.036 2.955 5.338
Mg 2.578 5.573 4.966
Mg 5.860 5.144 1.251
Mg 5.860 1.834 4.966
Mg 7.251 3.054 2.722
Mg 3.969 3.484 6.436
Mg 3.969 6.794 2.722
Cd 0.980 0.860 0.766
Cd 8.850 7.768 6.921

---

(12)
4
Lattice="5.802 0.000 0.001 2.981 4.978 -0.001 -3.957 -3.256 2.722" Properties=species:S:1:pos:R:3 comment="MgScTa2, relaxed, DFT PBE" final_energy_ev_per_fu=-30.622 delta_e_f_ev_per_atom=0.252 n_ef_per_ev_cell=3.8 spacegroup="Immm (71)" pbc="T T T"
Mg 1.708 2.105 1.361
Sc 3.118 -0.384 1.361
Ta 0.074 0.042 0.000
Ta 4.318 2.447 0.000